# 1
Here is crystalline Ni2OsPt at its relaxed geometry from the Alexandria database. Energies are from PBE.

Structure (CIF):
```
data_Ni2OsPt
_cell_length_a 2.6366
_cell_length_b 2.6366
_cell_length_c 8.7891
_cell_angle_alpha 90.00
_cell_angle_beta 90.00
_cell_angle_gamma 118.37
_space_group_name_H-M_alt 'P 1'
_space_group_IT_number 1
loop_
_space_group_symop_operation_xyz
'x,y,z'
loop_
_atom_site_label
_atom_site_type_symbol
_atom_site_fract_x
_atom_site_fract_y
_atom_site_fract_z
Os1 Os 0.5000 0.5000 0.2500
Pt1 Pt 0.5000 0.5000 0.7500
Ni1 Ni 0.0000 0.0000 0.4930
Ni2 Ni 0.0000 0.0000 0.0070
```

Summary:
Symmetry = Cmmm (65)
Energy of formation = 200 meV/atom

=====

# 2
Here is crystalline NiOsPt at its relaxed geometry from the Alexandria database. Energies are from PBE.

Structure (CIF):
```
data_NiOsPt
_cell_length_a 4.0134
_cell_length_b 4.0134
_cell_length_c 4.0134
_cell_angle_alpha 60.00
_cell_angle_beta 60.00
_cell_angle_gamma 60.00
_space_group_name_H-M_alt 'P 1'
_space_group_IT_number 1
loop_
_space_group_symop_operation_xyz
'x,y,z'
loop_
_atom_site_label
_atom_site_type_symbol
_atom_site_fract_x
_atom_site_fract_y
_atom_site_fract_z
Os1 Os 0.0000 0.0000 0.0000
Ni1 Ni 0.7500 0.7500 0.7500
Pt1 Pt 0.5000 0.5000 0.5000
```

Summary:
E above lowest polymorph = 0.554 eV per atom
Symmetry = F-43m (216)
Energy of formation = 558 meV/atom

=====

# 3
Here is crystalline Ni2OsPt at its relaxed geometry from the Alexandria database. Energies are from PBE.

Structure (CIF):
```
data_Ni2OsPt
_cell_length_a 4.6116
_cell_length_b 4.6116
_cell_length_c 4.6116
_cell_angle_alpha 132.86
_cell_angle_beta 132.87
_cell_angle_gamma 68.87
_space_group_name_H-M_alt 'P 1'
_space_group_IT_number 1
loop_
_space_group_symop_operation_xyz
'x,y,z'
loop_
_atom_site_label
_atom_site_type_symbol
_atom_site_fract_x
_atom_site_fract_y
_atom_site_fract_z
Os1 Os 0.5000 0.5000 0.0000
Ni1 Ni 0.7501 0.2501 0.5000
Ni2 Ni 0.0000 0.0000 0.0000
Pt1 Pt 0.2500 0.7500 0.5000
```

Summary:
Symmetry = I-4m2 (119)
Energy of formation = 68 meV/atom

=====

# 4
Here is crystalline Ni2OsPt at its relaxed geometry from the Alexandria database. Energies are from PBE.

Structure (CIF):
```
data_Ni2OsPt
_cell_length_a 2.6637
_cell_length_b 4.6182
_cell_length_c 4.4200
_cell_angle_alpha 90.00
_cell_angle_beta 90.00
_cell_angle_gamma 90.00
_space_group_name_H-M_alt 'P 1'
_space_group_IT_number 1
loop_
_space_group_symop_operation_xyz
'x,y,z'
loop_
_atom_site_label
_atom_site_type_symbol
_atom_site_fract_x
_atom_site_fract_y
_atom_site_fract_z
Ni1 Ni 0.5000 0.5000 0.0000
Ni2 Ni 0.0000 0.0000 0.0000
Pt1 Pt 0.0000 0.5000 0.5000
Os1 Os 0.5000 0.0000 0.5000
```

Summary:
Symmetry = Pmmm (47)
Energy of formation = 280 meV/atom

=====

# 5
Here is crystalline NiOsPt2 at its relaxed geometry from the Alexandria database. Energies are from PBE.

Structure (CIF):
```
data_NiOsPt2
_cell_length_a 2.7052
_cell_length_b 2.7052
_cell_length_c 9.2366
_cell_angle_alpha 90.00
_cell_angle_beta 90.00
_cell_angle_gamma 119.96
_space_group_name_H-M_alt 'P 1'
_space_group_IT_number 1
loop_
_space_group_symop_operation_xyz
'x,y,z'
loop_
_atom_site_label
_atom_site_type_symbol
_atom_site_fract_x
_atom_site_fract_y
_atom_site_fract_z
Os1 Os 0.5000 0.5000 0.7500
Pt1 Pt 0.0000 0.0000 0.0103
Pt2 Pt 0.0000 0.0000 0.4897
Ni1 Ni 0.5000 0.5000 0.2500
```

Summary:
E above lowest polymorph = 0.224 eV per atom
Symmetry = Cmmm (65)
Energy of formation = 261 meV/atom

=====

# 6
Here is crystalline NiOs2Pt at its relaxed geometry from the Alexandria database. Energies are from PBE.

Structure (CIF):
```
data_NiOs2Pt
_cell_length_a 8.9625
_cell_length_b 8.9625
_cell_length_c 8.9625
_cell_angle_alpha 17.34
_cell_angle_beta 17.34
_cell_angle_gamma 17.34
_space_group_name_H-M_alt 'P 1'
_space_group_IT_number 1
loop_
_space_group_symop_operation_xyz
'x,y,z'
loop_
_atom_site_label
_atom_site_type_symbol
_atom_site_fract_x
_atom_site_fract_y
_atom_site_fract_z
Ni1 Ni 0.7500 0.7500 0.7500
Os1 Os 0.0051 0.0051 0.0051
Os2 Os 0.4949 0.4949 0.4949
Pt1 Pt 0.2500 0.2500 0.2500
```

Summary:
E above lowest polymorph = 0.140 eV per atom
Symmetry = R-3m (166)
Energy of formation = 189 meV/atom

=====

# 7
Here is crystalline Ni2OsPt at its relaxed geometry from the Alexandria database. Energies are from PBE.

Structure (CIF):
```
data_Ni2OsPt
_cell_length_a 2.6602
_cell_length_b 3.6125
_cell_length_c 5.4102
_cell_angle_alpha 90.00
_cell_angle_beta 90.00
_cell_angle_gamma 90.00
_space_group_name_H-M_alt 'P 1'
_space_group_IT_number 1
loop_
_space_group_symop_operation_xyz
'x,y,z'
loop_
_atom_site_label
_atom_site_type_symbol
_atom_site_fract_x
_atom_site_fract_y
_atom_site_fract_z
Ni1 Ni 0.0000 0.0000 0.0152
Ni2 Ni 0.0000 0.0000 0.4848
Pt1 Pt 0.5000 0.5000 0.7500
Os1 Os 0.5000 0.5000 0.2500
```

Summary:
Symmetry = Pmmm (47)
Energy of formation = 50 meV/atom

=====

# 8
Here is crystalline NiOsPt2 at its relaxed geometry from the Alexandria database. Energies are from PBE.

Structure (CIF):
```
data_NiOsPt2
_cell_length_a 4.7513
_cell_length_b 4.7513
_cell_length_c 2.7074
_cell_angle_alpha 90.00
_cell_angle_beta 90.00
_cell_angle_gamma 110.44
_space_group_name_H-M_alt 'P 1'
_space_group_IT_number 1
loop_
_space_group_symop_operation_xyz
'x,y,z'
loop_
_atom_site_label
_atom_site_type_symbol
_atom_site_fract_x
_atom_site_fract_y
_atom_site_fract_z
Os1 Os 0.0000 0.5000 0.5000
Pt1 Pt 0.0000 0.0000 0.0000
Pt2 Pt 0.5000 0.5000 0.0000
Ni1 Ni 0.5000 0.0000 0.5000
```

Summary:
E above lowest polymorph = 0.046 eV per atom
Symmetry = Cmmm (65)
Energy of formation = 83 meV/atom

=====

# 9
Here is crystalline Ni2OsPt at its relaxed geometry from the Alexandria database. Energies are from PBE.

Structure (CIF):
```
data_Ni2OsPt
_cell_length_a 2.7067
_cell_length_b 2.7067
_cell_length_c 7.1070
_cell_angle_alpha 90.00
_cell_angle_beta 90.00
_cell_angle_gamma 90.00
_space_group_name_H-M_alt 'P 1'
_space_group_IT_number 1
loop_
_space_group_symop_operation_xyz
'x,y,z'
loop_
_atom_site_label
_atom_site_type_symbol
_atom_site_fract_x
_atom_site_fract_y
_atom_site_fract_z
Pt1 Pt 0.5000 0.5000 0.7582
Ni1 Ni 0.0000 0.0000 0.0187
Ni2 Ni 0.5000 0.5000 0.2438
Os1 Os 0.0000 0.0000 0.4793
```

Summary:
Symmetry = P4mm (99)
Energy of formation = 94 meV/atom

=====

# 10
Here is crystalline NiOs2Pt at its relaxed geometry from the Alexandria database. Energies are from PBE.

Structure (CIF):
```
data_NiOs2Pt
_cell_length_a 2.7162
_cell_length_b 2.7162
_cell_length_c 7.4911
_cell_angle_alpha 90.00
_cell_angle_beta 90.00
_cell_angle_gamma 90.00
_space_group_name_H-M_alt 'P 1'
_space_group_IT_number 1
loop_
_space_group_symop_operation_xyz
'x,y,z'
loop_
_atom_site_label
_atom_site_type_symbol
_atom_site_fract_x
_atom_site_fract_y
_atom_site_fract_z
Ni1 Ni 0.5000 0.5000 0.7500
Pt1 Pt 0.5000 0.5000 0.2500
Os1 Os 0.0000 0.0000 0.9808
Os2 Os 0.0000 0.0000 0.5192
```

Summary:
E above lowest polymorph = 0.213 eV per atom
Symmetry = P4/mmm (123)
Energy of formation = 261 meV/atom

=====

# 11
Here is crystalline RbNiOsPt2 at its relaxed geometry from the Alexandria database. Energies are from PBE.

Structure (CIF):
```
data_RbNiOsPt2
_cell_length_a 4.8306
_cell_length_b 4.8306
_cell_length_c 5.9637
_cell_angle_alpha 90.00
_cell_angle_beta 90.00
_cell_angle_gamma 90.00
_space_group_name_H-M_alt 'P 1'
_space_group_IT_number 1
loop_
_space_group_symop_operation_xyz
'x,y,z'
loop_
_atom_site_label
_atom_site_type_symbol
_atom_site_fract_x
_atom_site_fract_y
_atom_site_fract_z
Ni1 Ni 0.5000 0.5000 0.5000
Os1 Os 0.0000 0.0000 0.0000
Pt1 Pt 0.5000 0.0000 0.0000
Pt2 Pt 0.0000 0.5000 0.0000
Rb1 Rb 0.0000 0.0000 0.5000
```

Summary:
Symmetry = P4/mmm (123)
Energy of formation = 1677 meV/atom

=====

# 12
Here is crystalline ReNi2OsPt at its relaxed geometry from the Alexandria database. Energies are from PBE.

Structure (CIF):
```
data_ReNi2OsPt
_cell_length_a 4.4186
_cell_length_b 4.8056
_cell_length_c 4.4186
_cell_angle_alpha 90.00
_cell_angle_beta 90.00
_cell_angle_gamma 90.00
_space_group_name_H-M_alt 'P 1'
_space_group_IT_number 1
loop_
_space_group_symop_operation_xyz
'x,y,z'
loop_
_atom_site_label
_atom_site_type_symbol
_atom_site_fract_x
_atom_site_fract_y
_atom_site_fract_z
Re1 Re 0.5000 0.5000 0.5000
Ni1 Ni 0.5000 0.0000 0.0000
Ni2 Ni 0.0000 0.0000 0.5000
Os1 Os 0.0000 0.0000 0.0000
Pt1 Pt 0.0000 0.5000 0.0000
```

Summary:
Symmetry = P4/mmm (123)
Energy of formation = 1952 meV/atom

=====

Uncorrected energy: -7.0087; -7.1257; -7.1408; -6.9284; -7.0124; -8.3812; -7.1579; -7.1906; -7.1140; -8.3091; -4.3355; -6.3041 (eV/atom)
Calculated volume: 13.44; 15.24; 12.93; 13.59; 14.64; 13.95; 13.00; 14.32; 13.02; 13.82; 27.83; 18.77 (A^3/atom)